# KTl2C2O6 PBE optimized geometry
# E_tot = -136.0 eV for the cell shown
# Raw formation energy = -1.272 eV per atom
# Spin magnetization = 2.01 Bohr magnetons per cell
data_KTl2C2O6
_chemical_formula_sum 'K2 Tl4 C4 O12'
_cell_length_a 9.921
_cell_length_b 5.730
_cell_length_c 7.836
_cell_angle_alpha 90.00
_cell_angle_beta 115.13
_cell_angle_gamma 90.00
_space_group_name_H-M_alt 'C 1 2/m 1'
_space_group_IT_number 12
_space_group_name_Hall '-C 2y'
loop_
_atom_site_label
_atom_site_type_symbol
_atom_site_fract_x
_atom_site_fract_y
_atom_site_fract_z
K1 K 0.000 0.000 0.000
Tl1 Tl 0.205 0.000 0.613
C1 C 0.080 0.500 0.740
O1 O 0.015 0.305 0.740
O2 O 0.210 0.500 0.738